Below is crystalline CsIn8Pb2 at its relaxed geometry, with properties calculated at the PBE level.

Calculated values
Energy of formation from the pure elements in eV/atom: 0.117
Space group: No. 123
Spin magnetization in μB per cell: 0.00
Theoretical density in Mg/m³: 5.546

Geometry as CIF:
```
data_CsIn8Pb2
_chemical_formula_sum 'Cs1 In8 Pb2'
_cell_length_a 6.069
_cell_length_b 6.069
_cell_length_c 11.915
_cell_angle_alpha 90.00
_cell_angle_beta 90.00
_cell_angle_gamma 90.00
_space_group_name_H-M_alt 'P 1'
_space_group_IT_number 1
_space_group_name_Hall 'P 1'
loop_
_atom_site_label
_atom_site_fract_x
_atom_site_fract_y
_atom_site_fract_z
Cs1 0.500 0.500 0.500
In1 0.751 0.751 0.213
In2 0.751 0.249 0.787
In3 0.751 0.751 0.787
In4 0.751 0.249 0.213
In5 0.249 0.751 0.213
In6 0.249 0.751 0.787
In7 0.249 0.249 0.213
In8 0.249 0.249 0.787
Pb1 0.500 0.000 0.000
Pb2 0.000 0.500 0.000
```

Below is crystalline CsInPb at its relaxed geometry, with properties calculated at the PBE level.

Calculated values
Energy of formation from the pure elements in eV/atom: -0.164
Space group: No. 62
Spin magnetization in μB per cell: 0.00
Theoretical density in Mg/m³: 6.561

Geometry as CIF:
```
data_CsInPb
_chemical_formula_sum 'Cs4 In4 Pb4'
_cell_length_a 9.528
_cell_length_b 5.517
_cell_length_c 8.762
_cell_angle_alpha 90.00
_cell_angle_beta 90.00
_cell_angle_gamma 90.00
_space_group_name_H-M_alt 'P 1'
_space_group_IT_number 1
_space_group_name_Hall 'P 1'
loop_
_atom_site_label
_atom_site_fract_x
_atom_site_fract_y
_atom_site_fract_z
Pb1 0.164 0.250 0.406
Pb2 0.336 0.750 0.906
Pb3 0.836 0.750 0.594
Pb4 0.664 0.250 0.094
Cs1 0.000 0.250 0.835
Cs2 0.500 0.750 0.335
Cs3 0.000 0.750 0.165
Cs4 0.500 0.250 0.665
In1 0.836 0.250 0.408
In2 0.664 0.750 0.908
In3 0.164 0.750 0.592
In4 0.336 0.250 0.092
```